A plane-wave DFT calculation with GGA-PBE was carried out for NaPuInAu after structural relaxation.

The value obtained for the energy of formation is -124 meV/atom.

The space group is F-43m (No. 216) and the conventional cell measures 7.331, 7.331 and 7.331 Å, with angles of 90.00, 90.00 and 90.00 degrees. The inequivalent atoms are Na at (0.000, 0.000, 0.000), Pu at (0.000, 0.000, 0.500), In at (0.250, 0.250, 0.250) and Au at (0.250, 0.250, 0.750).

=====

A plane-wave DFT calculation with GGA-PBE was carried out for Rb2NaInAu after structural relaxation.

The value obtained for the energy of formation is -69 meV/atom.

The space group is P4/mmm (No. 123) and the conventional cell measures 6.738, 6.738 and 5.325 Å, with angles of 90.00, 90.00 and 90.00 degrees. The inequivalent atoms are Rb at (0.000, 0.500, 0.000), Na at (0.000, 0.000, 0.500), In at (0.500, 0.500, 0.500) and Au at (0.500, 0.500, 0.000).

=====

A plane-wave DFT calculation with GGA-PBE was carried out for Rb2NaInAu2 after structural relaxation.

The value obtained for the energy of formation is -224 meV/atom.

The space group is Pmc2_1 (No. 26) and the conventional cell measures 5.257, 8.729 and 8.785 Å, with angles of 90.00, 90.00 and 90.00 degrees. The inequivalent atoms are Rb at (0.000, 0.148, 0.000), Rb at (0.500, 0.160, 0.338), Na at (0.000, 0.475, 0.352), In at (0.500, 0.322, 0.717), Au at (0.000, 0.239, 0.622) and Au at (0.500, 0.428, 0.020).

=====

A plane-wave DFT calculation with GGA-PBE was carried out for RbNaIn2Au2 after structural relaxation.

The value obtained for the energy of formation is -309 meV/atom.

The space group is P-3m1 (No. 164) and the conventional cell measures 4.9311, 4.9311 and 8.3290 Å, with angles of 90.00, 90.00 and 120.00 degrees. The inequivalent atoms are Rb at (0.0000, 0.0000, 0.0000), Na at (0.0000, 0.0000, 0.5000), In at (0.3333, 0.6667, 0.3225) and Au at (0.3333, 0.6667, 0.6769).

=====

A plane-wave DFT calculation with GGA-PBE was carried out for RbNa2InAu after structural relaxation.

The value obtained for the relative energy among the computed polymorphs is 0.000 eV per atom. The value obtained for the energy of formation is -147 meV/atom.

The space group is P4/mmm (No. 123) and the conventional cell measures 5.819, 5.819 and 5.305 Å, with angles of 90.00, 90.00 and 90.00 degrees. The inequivalent atoms are Rb at (0.000, 0.000, 0.000), Na at (0.000, 0.500, 0.500), In at (0.500, 0.500, 0.000) and Au at (0.500, 0.500, 0.500).

=====

A plane-wave DFT calculation with GGA-PBE was carried out for RbNa2InAu after structural relaxation.

The value obtained for the relative energy among the computed polymorphs is 0.100 eV per atom. The value obtained for the energy of formation is -48 meV/atom.

The space group is P4/mmm (No. 123) and the conventional cell measures 6.030, 6.030 and 5.284 Å, with angles of 90.00, 90.00 and 90.00 degrees. The inequivalent atoms are Rb at (0.000, 0.000, 0.000), Na at (0.000, 0.500, 0.500), In at (0.500, 0.500, 0.500) and Au at (0.500, 0.500, 0.000).

=====

Question: The lowest energy of formation belongs to which entry?
Answer: RbNaIn2Au2

=====

Question: Look up the energy of formation of the fifth one.
Answer: -147 meV/atom

=====

Question: Among the records above, which one has the highest energy of formation?
Answer: number 6